(i)
CaScC3 | GGA-PBE | optimized geometry

extended XYZ file:
```
5
Lattice="4.223 0.000 0.000 0.000 4.223 0.000 0.000 0.000 4.223" Properties=species:S:1:pos:R:3 pbc="T T T"
Ca 0.000 0.000 0.000
Sc 2.111 2.111 2.111
C 0.000 0.000 2.111
C 0.000 2.111 0.000
C 2.111 0.000 0.000
```

## Properties
space group = Pm-3m

***

(ii)
CaScC3 | GGA-PBE | optimized geometry

extended XYZ file:
```
5
Lattice="4.252 0.000 0.000 0.000 4.252 0.000 0.000 0.000 4.252" Properties=species:S:1:pos:R:3 pbc="T T T"
Ca 0.000 0.000 0.000
Sc 2.126 2.126 2.126
C 0.000 2.126 2.126
C 2.126 0.000 2.126
C 2.126 2.126 0.000
```

## Properties
space group = Pm-3m

***

Which one sits at the top of the stability order? (ii) does.

***

(i)
CaCSe3 | GGA-PBE | optimized geometry

extended XYZ file:
```
5
Lattice="5.425 0.000 0.000 0.000 5.425 0.000 0.000 0.000 5.425" Properties=species:S:1:pos:R:3 pbc="T T T"
Ca 0.000 0.000 0.000
C 2.712 2.712 2.712
Se 0.000 0.000 2.712
Se 0.000 2.712 0.000
Se 2.712 0.000 0.000
```

## Properties
space group = Pm-3m

***

(ii)
CaCSe3 | GGA-PBE | optimized geometry

extended XYZ file:
```
5
Lattice="4.571 0.000 0.000 0.000 4.571 0.000 0.000 0.000 4.571" Properties=species:S:1:pos:R:3 pbc="T T T"
Ca 0.000 0.000 0.000
C 2.285 2.285 2.285
Se 0.000 2.285 2.285
Se 2.285 0.000 2.285
Se 2.285 2.285 0.000
```

## Properties
space group = Pm-3m

***

Which one sits at the top of the stability order? (ii) does.

***

(i)
CaSi3C | GGA-PBE | optimized geometry

extended XYZ file:
```
5
Lattice="5.357 0.000 0.000 0.000 5.357 0.000 0.000 0.000 5.357" Properties=species:S:1:pos:R:3 pbc="T T T"
Ca 0.000 0.000 0.000
Si 0.000 0.000 2.679
Si 0.000 2.679 0.000
Si 2.679 0.000 0.000
C 2.679 2.679 2.679
```

## Properties
space group = Pm-3m

***

(ii)
CaSi3C | GGA-PBE | optimized geometry

extended XYZ file:
```
5
Lattice="4.288 0.000 0.000 0.000 4.288 0.000 0.000 0.000 4.288" Properties=species:S:1:pos:R:3 pbc="T T T"
Ca 0.000 0.000 0.000
Si 0.000 2.144 2.144
Si 2.144 0.000 2.144
Si 2.144 2.144 0.000
C 2.144 2.144 2.144
```

## Properties
space group = Pm-3m

***

Which one sits at the top of the stability order? (ii) does.

***

(i)
CaTaC | GGA-PBE | optimized geometry

extended XYZ file:
```
6
Lattice="-2.182 2.642 4.871 2.182 -2.642 4.871 2.182 2.642 -4.871" Properties=species:S:1:pos:R:3 pbc="T T T"
Ca 0.000 1.321 1.090
Ca 2.182 1.321 3.781
Ta 2.182 1.321 -1.412
Ta 0.000 1.321 6.283
C 2.182 -1.321 3.467
C 0.000 3.962 1.405
```

## Properties
space group = Imma

***

(ii)
CaTaC | GGA-PBE | optimized geometry

extended XYZ file:
```
3
Lattice="3.344 0.000 0.000 -1.672 2.896 0.000 0.000 0.000 5.613" Properties=species:S:1:pos:R:3 pbc="T T T"
Ca 0.000 0.000 0.000
Ta 1.672 0.965 2.666
C 0.000 1.930 1.801
```

## Properties
space group = P3m1

***

Which one sits at the top of the stability order? (i) does.

***

(i)
CaTaC | GGA-PBE | optimized geometry

extended XYZ file:
```
3
Lattice="3.112 0.000 0.000 0.000 3.112 0.000 0.000 0.000 5.343" Properties=species:S:1:pos:R:3 pbc="T T T"
Ca 0.000 0.000 0.000
Ta 1.556 1.556 2.672
C 0.000 0.000 2.672
```

## Properties
space group = P4/mmm

***

(ii)
CaTaC | GGA-PBE | optimized geometry

extended XYZ file:
```
6
Lattice="5.363 -1.620 0.000 5.363 1.620 0.000 -0.597 0.000 6.132" Properties=species:S:1:pos:R:3 pbc="T T T"
Ca 0.000 0.000 0.000
Ca 2.191 0.000 4.693
Ta 5.017 0.000 2.929
Ta 7.888 0.000 1.962
C 1.198 0.000 2.279
C 9.223 0.000 3.696
```

## Properties
space group = Cm

***

Which one sits at the top of the stability order? (i) does.

***

(i)
CaTaC | GGA-PBE | optimized geometry

extended XYZ file:
```
6
Lattice="5.306 -1.709 0.000 5.306 1.709 0.000 -0.895 0.000 6.006" Properties=species:S:1:pos:R:3 pbc="T T T"
Ca 0.963 0.000 2.232
Ca 8.754 0.000 3.774
Ta 3.771 0.000 0.528
Ta 5.945 0.000 5.477
C 1.662 0.000 4.760
C 8.054 0.000 1.246
```

## Properties
space group = C2/m

***

(ii)
CaTaC | GGA-PBE | optimized geometry

extended XYZ file:
```
6
Lattice="5.595 0.000 0.000 0.000 3.162 0.000 0.000 0.000 6.152" Properties=species:S:1:pos:R:3 pbc="T T T"
Ca 1.399 0.000 0.825
Ca 4.197 0.000 5.327
Ta 1.399 1.581 3.638
Ta 4.197 1.581 2.514
C 0.000 0.000 3.076
C 2.798 0.000 3.076
```

## Properties
space group = Pmma

***

Which one sits at the top of the stability order? (ii) does.

***

(i)
CaTc3C | GGA-PBE | optimized geometry

extended XYZ file:
```
5
Lattice="4.213 0.000 0.000 0.000 4.213 0.000 0.000 0.000 4.213" Properties=species:S:1:pos:R:3 pbc="T T T"
Ca 0.000 0.000 0.000
Tc 0.000 2.107 2.107
Tc 2.107 0.000 2.107
Tc 2.107 2.107 0.000
C 2.107 2.107 2.107
```

## Properties
space group = Pm-3m

***

(ii)
CaTc3C | GGA-PBE | optimized geometry

extended XYZ file:
```
5
Lattice="4.626 0.000 0.000 0.000 4.626 0.000 0.000 0.000 4.626" Properties=species:S:1:pos:R:3 pbc="T T T"
Ca 0.000 0.000 0.000
Tc 0.000 0.000 2.313
Tc 0.000 2.313 0.000
Tc 2.313 0.000 0.000
C 2.313 2.313 2.313
```

## Properties
space group = Pm-3m

***

Which one sits at the top of the stability order? (i) does.

***

(i)
Ca3TiC | GGA-PBE | optimized geometry

extended XYZ file:
```
5
Lattice="5.085 0.000 0.000 0.000 5.085 0.000 0.000 0.000 5.085" Properties=species:S:1:pos:R:3 pbc="T T T"
Ca 0.000 0.000 2.542
Ca 0.000 2.542 0.000
Ca 2.542 0.000 0.000
Ti 2.542 2.542 2.542
C 0.000 0.000 0.000
```

## Properties
space group = Pm-3m

***

(ii)
Ca3TiC | GGA-PBE | optimized geometry

extended XYZ file:
```
5
Lattice="5.879 0.000 0.000 0.000 5.879 0.000 0.000 0.000 5.879" Properties=species:S:1:pos:R:3 pbc="T T T"
Ca 0.000 0.000 2.940
Ca 0.000 2.940 0.000
Ca 2.940 0.000 0.000
Ti 0.000 0.000 0.000
C 2.940 2.940 2.940
```

## Properties
space group = Pm-3m

***

Which one sits at the top of the stability order? (i) does.